## DyCoPO (PBE with a Hubbard U)

Data for a relaxed DyCoPO crystal.

relative energy among the computed polymorphs	374	meV/atom
energy	-6.43	eV/atom
magnetic moment	6.0	μB per cell

```
DyCoPO
1.0
4.283 0.000 0.000
0.000 5.927 0.000
0.000 0.000 5.704
Dy P O Co
2 2 2 2
Direct
0.500 0.234 0.416 Dy
0.500 0.766 0.916 Dy
0.500 0.238 0.914 P
0.500 0.762 0.414 P
0.000 0.669 0.890 O
0.000 0.331 0.390 O
0.000 0.365 0.034 Co
0.000 0.635 0.534 Co
```